1.
Here is YMgZn after structural relaxation from OQMD. Energies are from PBE.

The structure in POSCAR format:
```
YMgZn
1.0
3.656 0.000 0.000
-1.828 3.166 0.000
0.000 0.000 12.678
Y Mg Zn
2 2 2
direct
0.000 0.000 0.000
0.333 0.667 0.498
0.333 0.667 0.194
0.333 0.667 0.804
0.000 0.000 0.662
0.667 0.333 0.331
```

Calculated values
VASP energy in eV/atom: -3.060
Mass density in g/cm3: 4.042


2.
Here is YMgZn after structural relaxation from OQMD. Energies are from PBE.

The structure in POSCAR format:
```
YMgZn
1.0
3.661 0.000 0.000
-1.831 3.171 0.000
0.000 0.000 12.811
Y Mg Zn
2 2 2
direct
0.000 0.000 0.000
0.333 0.667 0.605
0.333 0.667 0.298
0.667 0.333 0.802
0.000 0.000 0.440
0.667 0.333 0.159
```

Calculated values
VASP energy in eV/atom: -3.077
Mass density in g/cm3: 3.989


3.
Here is YMgZn after structural relaxation from OQMD. Energies are from PBE.

The structure in POSCAR format:
```
YMgZn
1.0
4.913 0.000 0.000
-2.456 4.255 0.000
0.000 0.000 9.538
Y Mg Zn
3 3 3
direct
0.000 0.000 0.000
0.000 0.000 0.339
0.667 0.333 0.748
0.333 0.667 0.542
0.333 0.667 0.873
0.667 0.333 0.431
0.000 0.000 0.657
0.333 0.667 0.200
0.667 0.333 0.129
```

Calculated values
VASP energy in eV/atom: -3.226
Mass density in g/cm3: 4.463


4.
Here is YMgZn after structural relaxation from OQMD. Energies are from PBE.

The structure in POSCAR format:
```
YMgZn
1.0
4.828 0.000 0.000
-2.414 4.181 0.000
0.000 0.000 10.006
Y Mg Zn
3 3 3
direct
0.000 0.000 0.000
0.000 0.000 0.338
0.333 0.667 0.784
0.000 0.000 0.653
0.333 0.667 0.469
0.667 0.333 0.178
0.333 0.667 0.166
0.667 0.333 0.542
0.667 0.333 0.845
```

Calculated values
VASP energy in eV/atom: -3.257
Mass density in g/cm3: 4.405


5.
Here is YMgZn after structural relaxation from OQMD. Energies are from PBE.

The structure in POSCAR format:
```
YMgZn
1.0
4.661 0.000 0.000
-2.331 4.037 0.000
0.000 0.000 10.964
Y Mg Zn
3 3 3
direct
0.000 0.000 0.000
0.000 0.000 0.294
0.333 0.667 0.818
0.000 0.000 0.611
0.667 0.333 0.448
0.667 0.333 0.710
0.333 0.667 0.121
0.333 0.667 0.516
0.667 0.333 0.155
```

Calculated values
VASP energy in eV/atom: -3.154
Mass density in g/cm3: 4.313


6.
Here is YMgZn after structural relaxation from OQMD. Energies are from PBE.

The structure in POSCAR format:
```
YMgZn
1.0
3.575 0.000 0.000
-0.029 4.144 0.000
-1.753 -0.029 9.332
Y Mg Zn
2 2 2
direct
0.000 0.000 0.000
0.195 0.001 0.394
0.599 0.500 0.200
0.811 0.501 0.619
0.363 0.999 0.716
0.439 0.500 0.874
```

Calculated values
VASP energy in eV/atom: -3.273
Mass density in g/cm3: 4.292


7.
Here is YMgZn after structural relaxation from OQMD. Energies are from PBE.

The structure in POSCAR format:
```
YMgZn
1.0
7.543 0.000 0.000
0.000 4.305 0.000
-2.419 0.000 9.194
Y Mg Zn
4 4 4
direct
0.000 0.000 0.000
0.151 0.000 0.452
0.500 0.500 0.000
0.651 0.500 0.452
0.248 0.500 0.234
0.385 0.500 0.654
0.748 0.000 0.234
0.885 0.000 0.654
0.094 0.500 0.782
0.270 0.000 0.809
0.594 0.000 0.782
0.770 0.500 0.809
```

Calculated values
VASP energy in eV/atom: -3.093
Mass density in g/cm3: 3.974


8.
Here is YMgZn after structural relaxation from OQMD. Energies are from PBE.

The structure in POSCAR format:
```
YMgZn
1.0
4.962 0.000 0.000
-2.481 4.297 0.000
0.000 0.000 9.506
Y Mg Zn
3 3 3
direct
0.000 0.000 0.000
0.000 0.000 0.368
0.333 0.667 0.650
0.667 0.333 0.174
0.667 0.333 0.511
0.667 0.333 0.833
0.000 0.000 0.686
0.333 0.667 0.245
0.333 0.667 0.965
```

Calculated values
VASP energy in eV/atom: -3.306
Mass density in g/cm3: 4.391


9.
Here is YMgZn after structural relaxation from OQMD. Energies are from PBE.

The structure in POSCAR format:
```
YMgZn
1.0
4.874 0.000 0.000
0.000 4.840 0.000
-0.004 0.000 11.539
Y Mg Zn
4 4 4
direct
0.000 0.000 0.000
0.000 0.500 0.229
0.500 0.000 0.229
0.500 0.500 0.000
0.000 0.500 0.800
0.499 0.000 0.527
0.500 0.000 0.800
0.999 0.500 0.527
0.499 0.500 0.395
0.499 0.500 0.668
0.999 0.000 0.395
0.999 0.000 0.668
```

Calculated values
VASP energy in eV/atom: -3.220
Mass density in g/cm3: 4.358


10.
Here is YMgZn after structural relaxation from OQMD. Energies are from PBE.

The structure in POSCAR format:
```
YMgZn
1.0
3.920 0.000 0.000
-1.960 3.395 0.000
0.000 0.000 11.673
Y Mg Zn
2 2 2
direct
0.000 0.000 0.220
0.000 0.000 0.780
0.333 0.667 0.000
0.333 0.667 0.500
0.667 0.333 0.378
0.667 0.333 0.622
```

Calculated values
VASP energy in eV/atom: -3.051
Mass density in g/cm3: 3.819


11.
Here is YMgZn after structural relaxation from OQMD. Energies are from PBE.

The structure in POSCAR format:
```
YMgZn
1.0
4.218 0.000 0.000
-2.109 3.653 0.000
0.000 0.000 9.657
Y Mg Zn
2 2 2
direct
0.333 0.667 0.139
0.667 0.333 0.861
0.000 0.000 0.350
0.000 0.000 0.650
0.333 0.667 0.526
0.667 0.333 0.474
```

Calculated values
VASP energy in eV/atom: -2.988
Mass density in g/cm3: 3.987


12.
Here is YMgZn after structural relaxation from OQMD. Energies are from PBE.

The structure in POSCAR format:
```
YMgZn
1.0
4.848 0.000 0.000
-2.424 4.199 0.000
0.000 0.000 9.993
Y Mg Zn
3 3 3
direct
0.000 0.000 0.000
0.000 0.000 0.345
0.667 0.333 0.571
0.000 0.000 0.687
0.333 0.667 0.805
0.667 0.333 0.173
0.333 0.667 0.168
0.333 0.667 0.489
0.667 0.333 0.871
```

Calculated values
VASP energy in eV/atom: -3.303
Mass density in g/cm3: 4.374


13.
Here is YMgZn after structural relaxation from OQMD. Energies are from PBE.

The structure in POSCAR format:
```
YMgZn
1.0
5.054 0.000 0.000
-2.527 4.377 0.000
0.000 0.000 9.153
Y Mg Zn
3 3 3
direct
0.000 0.000 0.000
0.333 0.667 0.243
0.667 0.333 0.499
0.000 0.000 0.652
0.333 0.667 0.850
0.667 0.333 0.141
0.000 0.000 0.330
0.333 0.667 0.554
0.667 0.333 0.840
```

Calculated values
VASP energy in eV/atom: -3.259
Mass density in g/cm3: 4.395


14.
Here is YMgZn after structural relaxation from OQMD. Energies are from PBE.

The structure in POSCAR format:
```
YMgZn
1.0
4.615 0.000 0.000
-2.307 3.996 0.000
0.000 0.000 11.292
Y Mg Zn
3 3 3
direct
0.000 0.000 0.000
0.000 0.000 0.285
0.667 0.333 0.815
0.333 0.667 0.429
0.333 0.667 0.684
0.667 0.333 0.526
0.000 0.000 0.632
0.333 0.667 0.150
0.667 0.333 0.116
```

Calculated values
VASP energy in eV/atom: -3.149
Mass density in g/cm3: 4.273


15.
Here is YMgZn after structural relaxation from OQMD. Energies are from PBE.

The structure in POSCAR format:
```
YMgZn
1.0
4.867 0.000 0.000
-2.434 4.215 0.000
0.000 0.000 9.902
Y Mg Zn
3 3 3
direct
0.000 0.000 0.000
0.000 0.000 0.344
0.667 0.333 0.594
0.000 0.000 0.694
0.333 0.667 0.481
0.667 0.333 0.186
0.333 0.667 0.167
0.333 0.667 0.809
0.667 0.333 0.886
```

Calculated values
VASP energy in eV/atom: -3.209
Mass density in g/cm3: 4.380


16.
Here is YMgZn after structural relaxation from OQMD. Energies are from PBE.

The structure in POSCAR format:
```
YMgZn
1.0
4.578 0.000 0.000
-2.289 3.965 0.000
0.000 0.000 7.734
Y Mg Zn
2 2 2
direct
0.333 0.667 0.355
0.667 0.333 0.645
0.333 0.667 0.905
0.667 0.333 0.095
0.000 0.000 0.174
0.000 0.000 0.826
```

Calculated values
VASP energy in eV/atom: -3.135
Mass density in g/cm3: 4.225


17.
Here is YMgZn after structural relaxation from OQMD. Energies are from PBE.

The structure in POSCAR format:
```
YMgZn
1.0
3.475 0.000 0.000
1.719 3.040 0.000
0.013 0.014 13.701
Y Mg Zn
2 2 2
direct
0.000 0.000 0.000
0.333 0.333 0.794
0.000 0.001 0.598
0.667 0.665 0.196
0.000 0.999 0.339
0.333 0.332 0.456
```

Calculated values
VASP energy in eV/atom: -3.042
Mass density in g/cm3: 4.100


18.
Here is YMgZn after structural relaxation from OQMD. Energies are from PBE.

The structure in POSCAR format:
```
YMgZn
1.0
3.179 0.000 0.000
-1.589 2.753 0.000
0.000 0.000 8.900
Y Mg Zn
1 1 1
direct
0.000 0.000 0.000
0.000 0.000 0.645
0.000 0.000 0.338
```

Calculated values
VASP energy in eV/atom: -2.695
Mass density in g/cm3: 3.808


19.
Here is YMgZn after structural relaxation from OQMD. Energies are from PBE.

The structure in POSCAR format:
```
YMgZn
1.0
3.593 0.000 0.000
-1.796 3.111 0.000
0.000 0.000 13.034
Y Mg Zn
2 2 2
direct
0.000 0.000 0.000
0.333 0.667 0.500
0.000 0.000 0.305
0.000 0.000 0.695
0.333 0.667 0.164
0.333 0.667 0.836
```

Calculated values
VASP energy in eV/atom: -3.079
Mass density in g/cm3: 4.072


20.
Here is YMgZn after structural relaxation from OQMD. Energies are from PBE.

The structure in POSCAR format:
```
YMgZn
1.0
3.508 0.000 0.000
-1.754 3.038 0.000
0.000 0.000 13.578
Y Mg Zn
2 2 2
direct
0.000 0.000 0.000
0.333 0.667 0.793
0.000 0.000 0.596
0.333 0.667 0.195
0.000 0.000 0.338
0.667 0.333 0.454
```

Calculated values
VASP energy in eV/atom: -3.029
Mass density in g/cm3: 4.098


21.
Here is YMgZn after structural relaxation from OQMD. Energies are from PBE.

The structure in POSCAR format:
```
YMgZn
1.0
3.856 0.000 0.000
-1.928 3.339 0.000
0.000 0.000 11.763
Y Mg Zn
2 2 2
direct
0.000 0.000 0.000
0.333 0.667 0.519
0.333 0.667 0.208
0.667 0.333 0.798
0.000 0.000 0.348
0.000 0.000 0.678
```

Calculated values
VASP energy in eV/atom: -3.039
Mass density in g/cm3: 3.917


22.
Here is YMgZn after structural relaxation from OQMD. Energies are from PBE.

The structure in POSCAR format:
```
YMgZn
1.0
3.899 0.000 0.000
-1.949 3.376 0.000
0.000 0.000 11.767
Y Mg Zn
2 2 2
direct
0.000 0.000 0.000
0.000 0.000 0.419
0.667 0.333 0.207
0.667 0.333 0.803
0.000 0.000 0.683
0.333 0.667 0.587
```

Calculated values
VASP energy in eV/atom: -2.980
Mass density in g/cm3: 3.830


23.
Here is YMgZn after structural relaxation from OQMD. Energies are from PBE.

The structure in POSCAR format:
```
YMgZn
1.0
5.021 0.000 0.000
-2.510 4.348 0.000
0.000 0.000 6.128
Y Mg Zn
2 2 2
direct
0.333 0.667 0.250
0.667 0.333 0.750
0.000 0.000 0.000
0.000 0.000 0.500
0.333 0.667 0.750
0.667 0.333 0.250
```

Calculated values
VASP energy in eV/atom: -3.370
Mass density in g/cm3: 4.434


24.
Here is YMgZn after structural relaxation from OQMD. Energies are from PBE.

The structure in POSCAR format:
```
YMgZn
1.0
6.218 0.000 0.000
0.000 3.732 0.000
0.000 0.000 12.082
Y Mg Zn
4 4 4
direct
0.236 0.250 0.076
0.264 0.750 0.576
0.736 0.250 0.424
0.764 0.750 0.924
0.235 0.250 0.356
0.265 0.750 0.856
0.735 0.250 0.144
0.765 0.750 0.644
0.011 0.250 0.754
0.489 0.750 0.254
0.511 0.250 0.746
0.989 0.750 0.246
```

Calculated values
VASP energy in eV/atom: -3.222
Mass density in g/cm3: 4.232


25.
Here is YMgZn after structural relaxation from OQMD. Energies are from PBE.

The structure in POSCAR format:
```
YMgZn
1.0
4.936 0.000 0.000
-2.468 4.275 0.000
0.000 0.000 9.585
Y Mg Zn
3 3 3
direct
0.000 0.000 0.000
0.000 0.000 0.363
0.333 0.667 0.637
0.667 0.333 0.172
0.667 0.333 0.506
0.667 0.333 0.827
0.000 0.000 0.685
0.333 0.667 0.226
0.333 0.667 0.944
```

Calculated values
VASP energy in eV/atom: -3.305
Mass density in g/cm3: 4.399


Number 1: energy above the lowest structure with this stoichiometry 320 meV/atom. Number 2: energy above the lowest structure with this stoichiometry 303 meV/atom. Number 3: energy above the lowest structure with this stoichiometry 155 meV/atom. Number 4: energy above the lowest structure with this stoichiometry 123 meV/atom. Number 5: energy above the lowest structure with this stoichiometry 226 meV/atom. Number 6: energy above the lowest structure with this stoichiometry 107 meV/atom. Number 7: energy above the lowest structure with this stoichiometry 287 meV/atom. Number 8: energy above the lowest structure with this stoichiometry 75 meV/atom. Number 9: energy above the lowest structure with this stoichiometry 160 meV/atom. Number 10: energy above the lowest structure with this stoichiometry 329 meV/atom. Number 11: energy above the lowest structure with this stoichiometry 393 meV/atom. Number 12: energy above the lowest structure with this stoichiometry 77 meV/atom. Number 13: energy above the lowest structure with this stoichiometry 121 meV/atom. Number 14: energy above the lowest structure with this stoichiometry 231 meV/atom. Number 15: energy above the lowest structure with this stoichiometry 172 meV/atom. Number 16: energy above the lowest structure with this stoichiometry 246 meV/atom. Number 17: energy above the lowest structure with this stoichiometry 338 meV/atom. Number 18: energy above the lowest structure with this stoichiometry 685 meV/atom. Number 19: energy above the lowest structure with this stoichiometry 302 meV/atom. Number 20: energy above the lowest structure with this stoichiometry 351 meV/atom. Number 21: energy above the lowest structure with this stoichiometry 342 meV/atom. Number 22: energy above the lowest structure with this stoichiometry 400 meV/atom. Number 23: energy above the lowest structure with this stoichiometry 11 meV/atom. Number 24: energy above the lowest structure with this stoichiometry 158 meV/atom. Number 25: energy above the lowest structure with this stoichiometry 76 meV/atom.